Density functional theory data (PBE-GGA) for crystalline TbCe2Sm3Se6 at its relaxed geometry.

a = 7.217 Å, b = 7.217 Å, c = 7.237 Å
α = 99.58°, β = 99.58°, γ = 120.09°
Last column: magnetic moment on the atom in μB.
Sites, in units of the cell vectors:
Se 0.245 0.245 0.750  -0.01
Se 0.917 0.588 0.751  -0.01
Ce 0.334 0.666 0.000  0.77
Se 0.588 0.917 0.751  -0.01
Sm 0.167 0.833 0.500  0.00
Tb 0.000 0.000 0.000  0.04
Se 0.083 0.412 0.249  -0.01
Ce 0.666 0.334 0.000  0.77
Sm 0.833 0.167 0.500  0.00
Se 0.755 0.755 0.250  -0.01
Sm 0.500 0.500 0.500  0.00
Se 0.412 0.083 0.249  -0.01

**Formation energy (no corrections)**: -21.8 eV per formula unit
**Energy**: -0.4494 Ry per atom

=====

Density functional theory data (PBE-GGA) for crystalline LiTi2BAu at its relaxed geometry.

a = 4.396 Å, b = 3.711 Å, c = 4.396 Å
α = 90.00°, β = 90.00°, γ = 90.00°
Sites, in units of the cell vectors:
B 0.000 0.500 0.000
Ti 0.000 0.000 0.500
Au 0.500 0.500 0.500
Li 0.000 0.000 0.000
Ti 0.500 0.000 0.000

**Energy**: -0.3515 Ry per atom

=====

Density functional theory data (PBE-GGA) for crystalline Sc2AgSe at its relaxed geometry.

a = 8.831 Å, b = 8.831 Å, c = 8.831 Å
α = 23.48°, β = 23.48°, γ = 23.48°
Last column: magnetic moment on the atom in μB.
Sites, in units of the cell vectors:
Sc 0.234 0.234 0.234  0.26
Se 0.506 0.506 0.506  -0.01
Sc 0.007 0.007 0.007  0.26
Ag 0.752 0.752 0.752  0.01

**Formation energy (no corrections)**: -1.6 eV per formula unit
**Energy**: -0.3786 Ry per atom

=====

Density functional theory data (PBE-GGA) for crystalline Si3NiTe at its relaxed geometry.

a = 4.529 Å, b = 4.529 Å, c = 4.529 Å
α = 90.00°, β = 90.00°, γ = 90.00°
Sites, in units of the cell vectors:
Si 0.000 0.500 0.000
Si 0.500 0.000 0.000
Te 0.500 0.500 0.500
Ni 0.000 0.000 0.000
Si 0.000 0.000 0.500

**Formation energy (no corrections)**: 1.6 eV per formula unit
**Energy**: -0.3473 Ry per atom

=====

Density functional theory data (PBE-GGA) for crystalline Li2GaTcPt at its relaxed geometry.

a = 4.424 Å, b = 4.719 Å, c = 4.424 Å
α = 90.00°, β = 90.00°, γ = 90.00°
Last column: magnetic moment on the atom in μB.
Sites, in units of the cell vectors:
Li 0.500 0.000 0.000  0.05
Pt 0.500 0.500 0.500  0.24
Ga 0.000 0.500 0.000  -0.02
Tc 0.000 0.000 0.000  1.49
Li 0.000 0.000 0.500  0.05

**Energy**: -0.2654 Ry per atom

=====

Density functional theory data (PBE-GGA) for crystalline AcNd5DyHo2 at its relaxed geometry.

a = 5.575 Å, b = 12.546 Å, c = 9.510 Å
α = 90.00°, β = 90.00°, γ = 102.84°
Sites, in units of the cell vectors:
Nd 0.990 0.981 0.036
Nd 0.690 0.380 0.223
Nd 0.259 0.517 0.360
Ho 0.112 0.224 0.284
Ho 0.826 0.652 0.175
Nd 0.394 0.787 0.031
Nd 0.606 0.213 0.531
Ac 0.602 0.205 0.926
Dy 0.763 0.526 0.534
Dy 0.237 0.474 0.034
Nd 0.524 0.049 0.254
Nd 0.310 0.620 0.723
Ho 0.888 0.776 0.784
Nd 0.476 0.951 0.754
Nd 0.741 0.483 0.860
Ac 0.398 0.795 0.426
Nd 0.010 0.019 0.536
Ho 0.174 0.348 0.675

**Energy**: -0.3300 Ry per atom